# 1
Crystalline Ce3Pr4S8 at its relaxed geometry, computed with PBE-GGA.

a b c (Å): 8.7649 8.7649 8.7649
angles (deg): 54.43 54.43 54.43
Closest atoms and distances in Å follow each position.
Fractional positions:
Ce 0.0000 0.5000 0.5000  6 S 2.74-2.93
Ce 0.5000 0.0000 0.5000  6 S 2.74-2.93
Ce 0.5000 0.5000 0.0000  6 S 2.74-2.93
Pr 0.0000 0.0000 0.0000  6 S 2.96, 2 Pr 3.30
Pr 0.1480 0.1480 0.1480  4 S 2.67-2.78
Pr 0.5000 0.5000 0.5000  6 S 2.98
Pr 0.8520 0.8520 0.8520  4 S 2.67-2.78
S 0.2501 0.2501 0.7430  3 Pr 2.78-2.98, 2 Ce 2.93
S 0.2501 0.7430 0.2501  3 Pr 2.78-2.98, 2 Ce 2.93
S 0.2570 0.7499 0.7499  3 Pr 2.78-2.98, 2 Ce 2.93
S 0.2678 0.2678 0.2678  1 Pr 2.67, 3 Ce 2.74
S 0.7322 0.7322 0.7322  1 Pr 2.67, 3 Ce 2.74
S 0.7430 0.2501 0.2501  3 Pr 2.78-2.98, 2 Ce 2.93
S 0.7499 0.2570 0.7499  3 Pr 2.78-2.98, 2 Ce 2.93
S 0.7499 0.7499 0.2570  3 Pr 2.78-2.98, 2 Ce 2.93

Summary:
* formation energy without anion corrections: -1.760 eV per atom
* uncorrected energy: -6.423 eV/atom
* volume: 27.6 Å³ per atom
* distance to the lowest polymorph of the same formula: 25.8 kJ/mol of atoms
* symmetry: R-3m, No. 166

=====

# 2
Crystalline CePr3S6 at its relaxed geometry, computed with PBE-GGA.

a b c (Å): 8.3165 8.3165 8.3165
angles (deg): 99.26 99.26 99.26
Closest atoms and distances in Å follow each position.
Fractional positions:
Ce 0.0000 0.0000 0.0000  6 S 2.77
Ce 0.5000 0.5000 0.5000  6 S 2.77
Pr 0.1125 0.6222 0.2864  6 S 2.78-3.11
Pr 0.2864 0.1125 0.6222  6 S 2.78-3.11
Pr 0.3778 0.7136 0.8874  6 S 2.78-3.11
Pr 0.6222 0.2864 0.1126  6 S 2.78-3.11
Pr 0.7136 0.8874 0.3778  6 S 2.78-3.11
Pr 0.8874 0.3778 0.7136  6 S 2.78-3.11
S 0.0525 0.6768 0.9376  1 Ce 2.77, 3 Pr 2.78-2.98
S 0.0624 0.9475 0.3232  1 Ce 2.77, 3 Pr 2.78-2.98
S 0.1841 0.4254 0.5695  1 Ce 2.77, 2 Pr 2.91-2.94
S 0.3232 0.0624 0.9475  1 Ce 2.77, 3 Pr 2.78-2.98
S 0.4254 0.5695 0.1841  1 Ce 2.77, 2 Pr 2.91-2.94
S 0.4305 0.8159 0.5746  1 Ce 2.77, 2 Pr 2.91-2.94
S 0.5695 0.1841 0.4254  1 Ce 2.77, 2 Pr 2.91-2.94
S 0.5746 0.4305 0.8159  1 Ce 2.77, 2 Pr 2.91-2.94
S 0.6768 0.9376 0.0525  1 Ce 2.77, 3 Pr 2.78-2.98
S 0.8159 0.5746 0.4305  1 Ce 2.77, 2 Pr 2.91-2.94
S 0.9376 0.0525 0.6768  1 Ce 2.77, 3 Pr 2.78-2.98
S 0.9475 0.3232 0.0624  1 Ce 2.77, 3 Pr 2.78-2.98

Summary:
* formation energy without anion corrections: -1.967 eV per atom
* uncorrected energy: -6.471 eV/atom
* volume: 27.5 Å³ per atom
* distance to the lowest polymorph of the same formula: 1.2 kJ/mol of atoms
* symmetry: R-3, No. 148

=====

# 3
Crystalline Ce4Pr3S8 at its relaxed geometry, computed with PBE-GGA.

a b c (Å): 8.1320 8.1320 8.1285
angles (deg): 119.99 119.99 90.01
Closest atoms and distances in Å follow each position.
Fractional positions:
Ce 0.0000 0.0000 0.0000  6 S 2.85-2.86
Ce 0.0000 0.0000 0.5000  6 S 2.85
Ce 0.0000 0.5000 0.0000  6 S 2.87-2.88
Ce 0.5000 0.0000 0.0000  6 S 2.87-2.88
Pr 0.0000 0.5000 0.5000  6 S 2.87-2.88
Pr 0.5000 0.0000 0.5000  6 S 2.87-2.88
Pr 0.5000 0.5000 0.5000  6 S 2.90
S 0.2455 0.2455 0.4959  2 Ce 2.85, 3 Pr 2.88-2.90
S 0.2467 0.2467 0.9964  4 Ce 2.85-2.88, 1 Pr 2.90
S 0.2479 0.7521 0.0000  3 Ce 2.85-2.87, 2 Pr 2.88
S 0.2481 0.7519 0.5000  3 Ce 2.85-2.87, 3 Pr 2.87-2.90
S 0.7521 0.2479 0.0000  3 Ce 2.85-2.87, 2 Pr 2.88
S 0.7519 0.2481 0.5000  3 Ce 2.85-2.87, 3 Pr 2.87-2.90
S 0.7533 0.7533 0.0036  4 Ce 2.85-2.88, 1 Pr 2.90
S 0.7545 0.7545 0.5041  2 Ce 2.85, 3 Pr 2.88-2.90

Summary:
* formation energy without anion corrections: -2.018 eV per atom
* uncorrected energy: -6.757 eV/atom
* volume: 25.3 Å³ per atom
* symmetry: C2/m, No. 12

=====

# 4
Crystalline Ce2Pr3S8 at its relaxed geometry, computed with PBE-GGA.

a b c (Å): 8.4654 8.4654 4.7652
angles (deg): 90.00 90.00 108.66
Closest atoms and distances in Å follow each position.
Fractional positions:
Ce 0.2350 0.7650 0.0000  8 S 2.78-3.09
Ce 0.7650 0.2350 0.0000  8 S 2.78-3.09
Pr 0.2157 0.2157 0.5000  6 S 2.79-2.97
Pr 0.5000 0.5000 0.0000  8 S 2.91-2.96
Pr 0.7843 0.7843 0.5000  6 S 2.79-2.97
S 0.1309 0.3829 0.0000  2 Ce 2.95-3.07, 3 Pr 2.96-2.97
S 0.1311 0.8689 0.5000  2 Ce 2.78, 2 Pr 2.79
S 0.3780 0.6220 0.5000  2 Pr 2.91, 2 Ce 3.09
S 0.3829 0.1309 0.0000  2 Ce 2.95-3.07, 3 Pr 2.96-2.97
S 0.6171 0.8691 0.0000  2 Ce 2.95-3.07, 3 Pr 2.96-2.97
S 0.6220 0.3780 0.5000  2 Pr 2.91, 2 Ce 3.09
S 0.8689 0.1311 0.5000  2 Ce 2.78, 2 Pr 2.79
S 0.8691 0.6171 0.0000  2 Ce 2.95-3.07, 3 Pr 2.96-2.97

Summary:
* formation energy without anion corrections: -1.831 eV per atom
* uncorrected energy: -6.387 eV/atom
* volume: 24.9 Å³ per atom
* symmetry: Cmmm, No. 65

=====

# 5
Crystalline CePr3S6 at its relaxed geometry, computed with PBE-GGA.

a b c (Å): 7.5970 7.5970 7.5970
angles (deg): 57.01 57.01 57.01
Closest atoms and distances in Å follow each position.
Fractional positions:
Ce 0.0000 0.0000 0.0000  6 S 2.83-2.88
Pr 0.2074 0.2074 0.2074  6 S 2.84-2.92
Pr 0.4984 0.4984 0.4984  6 S 2.83-2.92
Pr 0.7067 0.7067 0.7067  6 S 2.84-2.92
S 0.1030 0.8082 0.3951  3 Pr 2.83-2.92, 1 Ce 2.88
S 0.3056 0.6057 0.8962  1 Ce 2.83, 3 Pr 2.84-2.92
S 0.3951 0.1030 0.8082  3 Pr 2.83-2.92, 1 Ce 2.88
S 0.6057 0.8962 0.3056  1 Ce 2.83, 3 Pr 2.84-2.92
S 0.8082 0.3951 0.1030  3 Pr 2.83-2.92, 1 Ce 2.88
S 0.8962 0.3056 0.6057  1 Ce 2.83, 3 Pr 2.84-2.92

Summary:
* formation energy without anion corrections: -1.980 eV per atom
* uncorrected energy: -6.484 eV/atom
* volume: 28.9 Å³ per atom
* distance to the lowest polymorph of the same formula: 0.0 kJ/mol of atoms
* symmetry: R3, No. 146

=====

# 6
Crystalline CePr2S3 at its relaxed geometry, computed with PBE-GGA.

a b c (Å): 7.0693 7.0693 7.0693
angles (deg): 146.49 131.79 59.98
Closest atoms and distances in Å follow each position.
Fractional positions:
Ce 0.0000 0.0000 0.0000  6 S 2.85-2.89
Pr 0.3304 0.3304 0.0000  6 S 2.89-2.91
Pr 0.6696 0.6696 0.0000  6 S 2.89-2.91
S 0.1621 0.6621 0.5000  2 Ce 2.85, 4 Pr 2.89-2.90
S 0.5000 0.0000 0.5000  2 Ce 2.89, 4 Pr 2.91
S 0.8379 0.3379 0.5000  2 Ce 2.85, 4 Pr 2.89-2.90

Summary:
* formation energy without anion corrections: -2.032 eV per atom
* uncorrected energy: -6.678 eV/atom
* volume: 24.0 Å³ per atom
* symmetry: Immm, No. 71

=====

# 7
Crystalline Ce3Pr2S4 at its relaxed geometry, computed with PBE-GGA.

a b c (Å): 6.9768 6.9768 9.8855
angles (deg): 118.04 118.04 33.45
Closest atoms and distances in Å follow each position.
Fractional positions:
Ce 0.0000 0.0000 0.0000  6 S 2.84
Ce 0.2010 0.2010 0.8032  5 S 2.81-2.84
Ce 0.7990 0.7990 0.1968  5 S 2.81-2.84
Pr 0.3991 0.3991 0.6002  4 S 2.86-2.88
Pr 0.6009 0.6009 0.3998  4 S 2.86-2.88
S 0.2004 0.2004 0.2970  3 Ce 2.83-2.84, 3 Pr 2.86-2.87
S 0.3987 0.3987 0.0981  5 Ce 2.81-2.84, 1 Pr 2.88
S 0.6013 0.6013 0.9019  5 Ce 2.81-2.84, 1 Pr 2.88
S 0.7996 0.7996 0.7030  3 Ce 2.83-2.84, 3 Pr 2.86-2.87

Summary:
* formation energy without anion corrections: -1.758 eV per atom
* uncorrected energy: -6.632 eV/atom
* volume: 25.7 Å³ per atom
* symmetry: C2/m, No. 12

=====

# 8
Crystalline Ce3Pr2S8 at its relaxed geometry, computed with PBE-GGA.

a b c (Å): 8.4695 8.4695 4.7755
angles (deg): 90.00 90.00 109.29
Closest atoms and distances in Å follow each position.
Fractional positions:
Ce 0.0000 0.0000 0.0000  8 S 2.87-2.88
Ce 0.2775 0.2775 0.5000  6 S 2.77-2.94
Ce 0.7225 0.7225 0.5000  6 S 2.77-2.94
Pr 0.2690 0.7310 0.0000  6 S 2.81-3.11
Pr 0.7310 0.2690 0.0000  6 S 2.81-3.11
S 0.1151 0.8849 0.5000  4 Ce 2.87-3.15, 1 S 3.18, 2 Pr 3.20
S 0.1176 0.3597 0.0000  3 Ce 2.88-2.94, 2 Pr 2.98-3.11
S 0.3597 0.1176 0.0000  3 Ce 2.88-2.94, 2 Pr 2.98-3.11
S 0.3762 0.6238 0.5000  2 Ce 2.77, 2 Pr 2.81
S 0.6238 0.3762 0.5000  2 Ce 2.77, 2 Pr 2.81
S 0.6403 0.8824 0.0000  3 Ce 2.88-2.94, 2 Pr 2.98-3.11
S 0.8824 0.6403 0.0000  3 Ce 2.88-2.94, 2 Pr 2.98-3.11
S 0.8849 0.1151 0.5000  4 Ce 2.87-3.15, 1 S 3.18, 2 Pr 3.20

Summary:
* formation energy without anion corrections: -1.874 eV per atom
* uncorrected energy: -6.519 eV/atom
* volume: 24.9 Å³ per atom
* distance to the lowest polymorph of the same formula: 4.2 kJ/mol of atoms
* symmetry: Cmmm, No. 65

=====

# 9
Crystalline Ce3Pr4S8 at its relaxed geometry, computed with PBE-GGA.

a b c (Å): 8.1375 8.1375 8.1349
angles (deg): 119.98 119.98 90.03
Closest atoms and distances in Å follow each position.
Fractional positions:
Ce 0.0000 0.0000 0.0000  6 S 2.85-2.86
Ce 0.0000 0.5000 0.5000  6 S 2.88
Ce 0.5000 0.0000 0.5000  6 S 2.88
Pr 0.0000 0.5000 0.0000  6 S 2.88
Pr 0.5000 0.0000 0.0000  6 S 2.88
Pr 0.5000 0.5000 0.0000  6 S 2.90-2.91
Pr 0.5000 0.5000 0.5000  6 S 2.88-2.89
S 0.2475 0.2475 0.4962  3 Ce 2.86-2.88, 2 Pr 2.88-2.90
S 0.2466 0.2466 0.9982  1 Ce 2.85, 4 Pr 2.88-2.91
S 0.2481 0.7519 0.0000  3 Ce 2.86-2.88, 3 Pr 2.88-2.90
S 0.2496 0.7504 0.5000  2 Ce 2.88, 3 Pr 2.88
S 0.7504 0.2496 0.5000  2 Ce 2.88, 3 Pr 2.88
S 0.7519 0.2481 0.0000  3 Ce 2.86-2.88, 3 Pr 2.88-2.90
S 0.7534 0.7534 0.0018  1 Ce 2.85, 4 Pr 2.88-2.91
S 0.7525 0.7525 0.5038  3 Ce 2.86-2.88, 2 Pr 2.88-2.90

Summary:
* formation energy without anion corrections: -2.027 eV per atom
* uncorrected energy: -6.690 eV/atom
* volume: 25.4 Å³ per atom
* distance to the lowest polymorph of the same formula: 0.0 kJ/mol of atoms
* symmetry: C2/m, No. 12

=====

Question: Number 2 is which compound?
Answer: CePr3S6

=====

Question: What is the formula in the third record?
Answer: Ce4Pr3S8